(1)
A plane-wave DFT calculation with GGA-PBEsol was carried out for an optimized crystal structure of MoWSe2N.

Lattice parameters (Å, degrees): 4.9870 4.9870 3.7474 90.00 90.00 90.00
Closest atoms and distances in Å follow each position.
Fractional positions:
Mo 0.0000 0.0000 0.0000  8 Se 3.12
W 0.5000 0.5000 0.5000  2 N 1.87
Se 0.0000 0.5000 0.5000  2 W 2.49
Se 0.5000 0.0000 0.5000  2 W 2.49
N 0.5000 0.5000 0.0000  2 W 1.87

Calculated values
Fermi-level density of states, states/eV per cell: 2.85
Density, Mg/m³: 8.05
Uncorrected formation energy, eV/atom: 0.70
Magnetization, μB per formula unit: 3.70



(2)
A plane-wave DFT calculation with GGA-PBEsol was carried out for an optimized crystal structure of YMoSe2N.

Lattice parameters (Å, degrees): 5.3675 5.3675 4.0649 90.00 90.00 90.00
Closest atoms and distances in Å follow each position.
Fractional positions:
Y 0.0000 0.0000 0.0000  2 N 2.03
Mo 0.5000 0.5000 0.5000  8 Se 3.37
Se 0.0000 0.5000 0.0000  2 Y 2.68
Se 0.5000 0.0000 0.0000  2 Y 2.68
N 0.0000 0.0000 0.5000  2 Y 2.03

Calculated values
Fermi-level density of states, states/eV per cell: 2.57
Density, Mg/m³: 5.06
Uncorrected formation energy, eV/atom: 0.73
Magnetization, μB per formula unit: 2.45



(3)
A plane-wave DFT calculation with GGA-PBEsol was carried out for an optimized crystal structure of ZnMoSeN2.

Lattice parameters (Å, degrees): 3.8027 3.8027 4.9347 90.00 90.00 90.00
Closest atoms and distances in Å follow each position.
Fractional positions:
Zn 0.0000 0.0000 0.0000  4 N 1.90
Mo 0.5000 0.5000 0.5000  4 Se 2.69
Se 0.0000 0.0000 0.5000  2 Zn 2.47, 4 Mo 2.69
N 0.0000 0.5000 0.0000  2 Zn 1.90
N 0.5000 0.0000 0.0000  2 Zn 1.90

Calculated values
Fermi-level density of states, states/eV per cell: 2.15
Density, Mg/m³: 6.24
Uncorrected formation energy, eV/atom: 1.58
Magnetization, μB per formula unit: 0.66



(4)
A plane-wave DFT calculation with GGA-PBEsol was carried out for an optimized crystal structure of SiMoN3.

Lattice parameters (Å, degrees): 3.5318 3.5318 3.5318 90.00 90.00 90.00
Closest atoms and distances in Å follow each position.
Fractional positions:
Si 0.0000 0.0000 0.0000  6 N 1.77
Mo 0.5000 0.5000 0.5000  12 N 2.50
N 0.0000 0.0000 0.5000  2 Si 1.77
N 0.0000 0.5000 0.0000  2 Si 1.77
N 0.5000 0.0000 0.0000  2 Si 1.77

Calculated values
Fermi-level density of states, states/eV per cell: 2.37
Density, Mg/m³: 6.26
Uncorrected formation energy, eV/atom: 0.28
Magnetization, μB per formula unit: 0.55



(5)
A plane-wave DFT calculation with GGA-PBEsol was carried out for an optimized crystal structure of SiMoN3.

Lattice parameters (Å, degrees): 3.9160 3.9160 3.9160 90.00 90.00 90.00
Closest atoms and distances in Å follow each position.
Fractional positions:
Si 0.0000 0.0000 0.0000  12 N 2.77
Mo 0.5000 0.5000 0.5000  6 N 1.96
N 0.0000 0.5000 0.5000  2 Mo 1.96
N 0.5000 0.0000 0.5000  2 Mo 1.96
N 0.5000 0.5000 0.0000  2 Mo 1.96

Calculated values
Fermi-level density of states, states/eV per cell: 1.67
Density, Mg/m³: 4.59
Uncorrected formation energy, eV/atom: 0.69
Magnetization, μB per formula unit: 0.00



(6)
A plane-wave DFT calculation with GGA-PBEsol was carried out for an optimized crystal structure of SnMo3N.

Lattice parameters (Å, degrees): 4.1370 4.1370 4.1370 90.00 90.00 90.00
Closest atoms and distances in Å follow each position.
Fractional positions:
Sn 0.0000 0.0000 0.0000  12 Mo 2.93
Mo 0.0000 0.5000 0.5000  2 N 2.07
Mo 0.5000 0.0000 0.5000  2 N 2.07
Mo 0.5000 0.5000 0.0000  2 N 2.07
N 0.5000 0.5000 0.5000  6 Mo 2.07

Calculated values
Fermi-level density of states, states/eV per cell: 2.52
Density, Mg/m³: 9.86
Uncorrected formation energy, eV/atom: -0.21
Magnetization, μB per formula unit: 0.00